Record 1
This record from Alexandria via LeMat-Bulk describes a geometry-optimized GaRePCl2 structure. The functional is GGA-PBE.

crystal system	tetragonal
Fermi-level density of states	0.2992	states/eV per atom
polymorph energy (0 for the lowest one)	0.761	eV per atom

a = 4.642 Å, b = 4.642 Å, c = 5.162 Å
α = 90.00°, β = 90.00°, γ = 90.00°
Element x y z (fractional)
Re 0.500 0.500 0.500
Cl 0.000 0.500 0.000
P 0.000 0.000 0.500
Cl 0.500 0.000 0.000
Ga 0.000 0.000 0.000

=====

Record 2
This record from Alexandria via LeMat-Bulk describes a geometry-optimized SrFe2Br structure. The functional is GGA-PBE.

crystal system	cubic
Fermi-level density of states	1.8398	states/eV per atom
polymorph energy (0 for the lowest one)	0.926	eV per atom

a = 4.972 Å, b = 4.972 Å, c = 4.972 Å
α = 60.00°, β = 60.00°, γ = 60.00°
Element x y z (fractional)
Sr 0.500 0.500 0.500
Br 0.000 0.000 0.000
Fe 0.750 0.750 0.750
Fe 0.250 0.250 0.250

=====

In the order shown, the computed formation energy without anion corrections values come out to 0.962, 0.965 eV/atom.
In the order shown, the computed V values come out to 22.24, 21.73 Å³/atom.